(1)
Density functional theory data (PBE) for a relaxed structure of TiAsRhC2.

```
data_TiAsRhC2
_chemical_formula_sum 'Ti1 As1 Rh1 C2'
_cell_length_a 3.995
_cell_length_b 3.995
_cell_length_c 4.868
_cell_angle_alpha 90.00
_cell_angle_beta 90.00
_cell_angle_gamma 90.00
_space_group_name_H-M_alt 'P 4/m m m'
_space_group_IT_number 123
_space_group_name_Hall '-P 4 2'
loop_
_atom_site_label
_atom_site_type_symbol
_atom_site_fract_x
_atom_site_fract_y
_atom_site_fract_z
_atom_site_occupancy
Ti1 Ti 0.000 0.000 0.000 1
As1 As 0.500 0.500 0.500 1
Rh1 Rh 0.000 0.000 0.500 1
C1 C 0.000 0.500 0.000 1
```

Computed properties:
The value obtained for the total magnetization is 0.00 Bohr magnetons per cell. The energy relative to the elements comes out at 1.575 eV/atom. For the volume, the calculation gives 77.7 Å³/f.u. Its energy is -6.094 eV/atom. For the density, the calculation gives 5.34 Mg/m³.

---

(2)
Density functional theory data (PBE) for a relaxed structure of Rb2TaPbF6.

```
data_Rb2TaPbF6
_chemical_formula_sum 'Rb4 Ta2 Pb2 F12'
_cell_length_a 6.510
_cell_length_b 6.510
_cell_length_c 11.844
_cell_angle_alpha 90.00
_cell_angle_beta 90.00
_cell_angle_gamma 90.00
_space_group_name_H-M_alt 'I 4/m m m'
_space_group_IT_number 139
_space_group_name_Hall '-I 4 2'
loop_
_atom_site_label
_atom_site_type_symbol
_atom_site_fract_x
_atom_site_fract_y
_atom_site_fract_z
_atom_site_occupancy
Rb1 Rb 0.000 0.500 0.250 1
Ta1 Ta 0.000 0.000 0.000 1
Pb1 Pb 0.000 0.000 0.500 1
F1 F 0.000 0.000 0.165 1
F2 F 0.219 0.219 0.000 1
```

Computed properties:
The value obtained for the total magnetization is 2.00 Bohr magnetons per cell. For the volume, the calculation gives 250.9 Å³/f.u. The value obtained for the uncorrected formation energy is -2.3830 eV per atom. Its energy is -5.255 eV/atom. For the density, the calculation gives 4.45 Mg/m³.

---

(3)
Density functional theory data (PBE) for a relaxed structure of BeSb2Ir.

```
data_BeSb2Ir
_chemical_formula_sum 'Be3 Sb6 Ir3'
_cell_length_a 3.9431
_cell_length_b 3.9431
_cell_length_c 18.8020
_cell_angle_alpha 90.00
_cell_angle_beta 90.00
_cell_angle_gamma 120.00
_space_group_name_H-M_alt 'R 3 m'
_space_group_IT_number 160
_space_group_name_Hall 'R 3 -2"'
loop_
_atom_site_label
_atom_site_type_symbol
_atom_site_fract_x
_atom_site_fract_y
_atom_site_fract_z
_atom_site_occupancy
Be1 Be 0.0000 0.0000 0.0000 1
Sb1 Sb 0.0000 0.0000 0.2455 1
Sb2 Sb 0.0000 0.0000 0.4212 1
Ir1 Ir 0.0000 0.0000 0.6668 1
```

Computed properties:
The value obtained for the total magnetization is 0.00 Bohr magnetons per cell. For the volume, the calculation gives 84.4 Å³/f.u. The value obtained for the uncorrected formation energy is -0.2292 eV per atom. Its energy is -5.437 eV/atom. For the density, the calculation gives 8.75 Mg/m³.